Entry 1:
Material: LaTmInCu
Method: DFT, PBE
State: optimized geometry

Cell and atoms, written as extended XYZ:
```
4
Lattice="0.000 3.732 3.732 3.732 0.000 3.732 3.732 3.732 0.000" Properties=species:S:1:pos:R:3 pbc="T T T"
La 0.000 0.000 0.000
Tm 3.732 3.732 3.732
In 5.599 5.599 5.599
Cu 1.866 1.866 1.866
```

Values from the calculation:
DOS at the Fermi energy: 3.53 states/eV/cell
SG: F-43m
electronic total energy: -4.3297 eV per atom
magnetic moment: 0.001 μB per formula unit

Entry 2:
Material: La2ZnInCu6
Method: DFT, PBE
State: optimized geometry

Cell and atoms, written as extended XYZ:
```
10
Lattice="0.000 4.723 4.723 4.723 0.000 4.723 4.723 4.723 0.000" Properties=species:S:1:pos:R:3 pbc="T T T"
La 2.362 2.362 2.362
La 7.085 7.085 7.085
Zn 0.000 0.000 0.000
In 4.723 4.723 4.723
Cu 4.723 4.723 2.258
Cu 4.723 2.258 4.723
Cu 7.189 4.723 4.723
Cu 2.258 4.723 4.723
Cu 4.723 7.189 4.723
Cu 4.723 4.723 7.189
```

Values from the calculation:
DOS at the Fermi energy: 5.85 states/eV/cell
SG: Fm-3m
electronic total energy: -3.7003 eV per atom
magnetic moment: 0.000 μB per formula unit

Entry 3:
Material: La2Zn3InCu12
Method: DFT, PBE
State: optimized geometry

Cell and atoms, written as extended XYZ:
```
18
Lattice="4.166 2.405 5.851 -4.166 2.405 5.851 0.000 -4.810 5.851" Properties=species:S:1:pos:R:3 pbc="T T T"
La 0.000 0.000 1.730
La 0.000 0.000 15.822
Zn -2.083 -1.203 5.851
Zn -2.083 1.203 11.701
Zn 0.000 2.405 5.851
In 0.000 0.000 8.776
Cu -2.112 -1.219 8.355
Cu 0.000 -1.591 4.508
Cu -1.378 0.796 4.508
Cu 0.000 -2.439 9.197
Cu -2.112 1.219 9.197
Cu 1.378 0.796 4.507
Cu -1.378 -0.796 13.045
Cu 2.112 -1.219 8.355
Cu 0.000 2.439 8.355
Cu 1.378 -0.796 13.045
Cu 0.000 1.591 13.045
Cu 2.112 1.219 9.197
```

Values from the calculation:
DOS at the Fermi energy: 7.23 states/eV/cell
SG: R-3m
electronic total energy: -3.3815 eV per atom
magnetic moment: 0.000 μB per formula unit

Entry 4:
Material: Li2In2Cu
Method: DFT, PBE
State: optimized geometry

Cell and atoms, written as extended XYZ:
```
10
Lattice="-3.152 5.998 2.505 3.152 -5.998 2.505 3.152 5.998 -2.505" Properties=species:S:1:pos:R:3 pbc="T T T"
Li 1.041 0.963 0.000
Li 1.041 -0.963 2.505
Li 2.111 6.960 0.000
Li 2.111 5.035 2.505
In 4.403 2.138 0.000
In 1.250 3.860 0.000
In 1.902 2.138 2.505
In -1.250 3.860 2.505
Cu 3.152 0.000 1.252
Cu 0.000 5.998 1.252
```

Values from the calculation:
DOS at the Fermi energy: 2.11 states/eV/cell
SG: Ibam
electronic total energy: -2.8137 eV per atom
energy above the most stable polymorph in this dataset: 59 meV per atom
magnetic moment: 0.000 μB per formula unit

Look up the DOS at the Fermi energy of the first one. 3.53 states/eV/cell